--- a ---
Entry from the Alexandria database: a PBEsol-optimized structure of SiAsW2 (meta-GGA SCAN).

Unit cell a=2.957 b=4.369 c=4.616 alpha=90.00 beta=90.00 gamma=90.00
Positions (direct):
As: 0.000 0.524 0.000
Si: 0.500 0.729 0.500
W: 0.500 0.020 0.000
W: 0.000 0.227 0.500

***

--- b ---
Entry from the Alexandria database: a PBEsol-optimized structure of SiAsW2 (meta-GGA SCAN).

Unit cell a=3.199 b=3.199 c=5.700 alpha=90.00 beta=90.00 gamma=90.00
Positions (direct):
As: 0.000 0.000 0.493
Si: 0.500 0.500 0.765
W: 0.000 0.000 0.963
W: 0.500 0.500 0.279

***

Computed relative energies in units of eV/atom: a 0.285; b 0.000

***

--- a ---
Entry from the Alexandria database: a PBEsol-optimized structure of Y2SiAs (meta-GGA SCAN).

Unit cell a=4.717 b=5.091 c=4.717 alpha=62.40 beta=90.00 gamma=117.60
Positions (direct):
As: 0.500 0.000 0.500
Si: 0.000 0.000 0.000
Y: 0.250 0.500 0.250
Y: 0.750 0.500 0.750

***

--- b ---
Entry from the Alexandria database: a PBEsol-optimized structure of Y2SiAs (meta-GGA SCAN).

Unit cell a=6.272 b=6.272 c=6.272 alpha=106.44 beta=106.44 gamma=115.72
Positions (direct):
Y: 0.877 0.875 0.502
Y: 0.373 0.375 0.498
Y: 0.125 0.627 0.002
Y: 0.625 0.123 0.998
As: 0.000 0.000 0.000
As: 0.250 0.750 0.500
Si: 0.500 0.500 0.000
Si: 0.750 0.250 0.500

***

--- c ---
Entry from the Alexandria database: a PBEsol-optimized structure of Y2SiAs (meta-GGA SCAN).

Unit cell a=4.320 b=5.132 c=5.132 alpha=62.94 beta=65.11 gamma=65.11
Positions (direct):
As: 0.500 0.000 0.000
Si: 0.000 0.500 0.500
Y: 0.247 0.753 0.753
Y: 0.753 0.247 0.247

***

Computed relative energies in units of eV/atom: a 0.074; b 0.051; c 0.000

***

--- a ---
Entry from the Alexandria database: a PBEsol-optimized structure of Sr2SnAs2 (meta-GGA SCAN).

Unit cell a=4.438 b=7.764 c=7.764 alpha=90.00 beta=90.00 gamma=90.00
Positions (direct):
Sr: 0.500 0.178 0.678
Sr: 0.500 0.678 0.822
Sr: 0.500 0.822 0.322
Sr: 0.500 0.322 0.178
As: 0.000 0.380 0.880
As: 0.000 0.880 0.620
As: 0.000 0.620 0.120
As: 0.000 0.120 0.380
Sn: 0.000 0.000 0.000
Sn: 0.000 0.500 0.500

***

--- b ---
Entry from the Alexandria database: a PBEsol-optimized structure of Sr2SnAs2 (meta-GGA SCAN).

Unit cell a=3.848 b=3.848 c=9.866 alpha=101.24 beta=101.24 gamma=90.00
Positions (direct):
Sr: 0.384 0.384 0.768
Sr: 0.616 0.616 0.232
As: 0.250 0.750 0.500
As: 0.750 0.250 0.500
Sn: 0.000 0.000 0.000

***

Computed relative energies in units of eV/atom: a 0.000; b 0.183

***

--- a ---
Entry from the Alexandria database: a PBEsol-optimized structure of Sr3As (meta-GGA SCAN).

Unit cell a=4.941 b=4.941 c=12.334 alpha=101.55 beta=101.55 gamma=90.00
Positions (direct):
As: 0.595 0.595 0.190
As: 0.405 0.405 0.810
Sr: 0.000 0.500 0.000
Sr: 0.500 0.000 0.000
Sr: 0.750 0.250 0.500
Sr: 0.250 0.750 0.500
Sr: 0.880 0.880 0.761
Sr: 0.120 0.120 0.239

***

--- b ---
Entry from the Alexandria database: a PBEsol-optimized structure of Sr3As (meta-GGA SCAN).

Unit cell a=4.436 b=4.436 c=11.161 alpha=78.54 beta=78.54 gamma=60.00
Positions (direct):
Sr: 0.716 0.716 0.851
Sr: 0.500 0.500 0.500
Sr: 0.284 0.284 0.149
As: 0.000 0.000 0.000

***

Computed relative energies in units of eV/atom: a 0.271; b 0.000

***

--- a ---
Entry from the Alexandria database: a PBEsol-optimized structure of Sr2TeAs (meta-GGA SCAN).

Unit cell a=5.510 b=5.510 c=5.510 alpha=60.00 beta=60.00 gamma=60.00
Positions (direct):
Sr: 0.250 0.250 0.250
Sr: 0.750 0.750 0.750
As: 0.000 0.000 0.000
Te: 0.500 0.500 0.500

***

--- b ---
Entry from the Alexandria database: a PBEsol-optimized structure of Sr2TeAs (meta-GGA SCAN).

Unit cell a=4.544 b=4.562 c=6.461 alpha=90.00 beta=89.99 gamma=90.00
Positions (direct):
Sr: 0.000 0.000 0.000
Sr: 0.500 0.500 0.500
As: 0.000 0.000 0.500
Te: 0.500 0.500 0.000

***

--- c ---
Entry from the Alexandria database: a PBEsol-optimized structure of Sr2TeAs (meta-GGA SCAN).

Unit cell a=3.635 b=3.970 c=8.123 alpha=90.00 beta=90.01 gamma=90.00
Positions (direct):
Sr: 0.001 0.000 0.734
Sr: 0.999 0.000 0.266
As: 0.500 0.500 0.500
Te: 0.500 0.500 0.000

***

Computed relative energies in units of eV/atom: a 0.145; b 0.000; c 0.084

***

--- a ---
Entry from the Alexandria database: a PBEsol-optimized structure of Sr2TlAs (meta-GGA SCAN).

Unit cell a=4.581 b=4.581 c=6.526 alpha=110.55 beta=110.55 gamma=90.00
Positions (direct):
Sr: 0.000 0.000 0.000
Sr: 0.750 0.250 0.500
Tl: 0.500 0.500 0.000
As: 0.250 0.750 0.500

***

--- b ---
Entry from the Alexandria database: a PBEsol-optimized structure of Sr2TlAs (meta-GGA SCAN).

Unit cell a=5.503 b=5.503 c=5.503 alpha=60.00 beta=60.00 gamma=60.00
Positions (direct):
Sr: 0.250 0.250 0.250
Sr: 0.750 0.750 0.750
Tl: 0.500 0.500 0.500
As: 0.000 0.000 0.000

***

Computed relative energies in units of eV/atom: a 0.085; b 0.000

***

--- a ---
Entry from the Alexandria database: a PBEsol-optimized structure of SrTl2As (meta-GGA SCAN).

Unit cell a=5.366 b=5.366 c=5.366 alpha=60.00 beta=60.00 gamma=60.00
Positions (direct):
Sr: 0.250 0.250 0.250
Tl: 0.000 0.000 0.000
Tl: 0.750 0.750 0.750
As: 0.500 0.500 0.500

***

--- b ---
Entry from the Alexandria database: a PBEsol-optimized structure of SrTl2As (meta-GGA SCAN).

Unit cell a=4.147 b=4.641 c=6.438 alpha=111.13 beta=90.00 gamma=90.00
Positions (direct):
Sr: 0.500 0.607 0.214
Tl: 0.000 0.902 0.803
Tl: 0.500 0.327 0.654
As: 0.000 0.152 0.304

***

Computed relative energies in units of eV/atom: a 0.213; b 0.000

***

--- a ---
Entry from the Alexandria database: a PBEsol-optimized structure of SrYAs2 (meta-GGA SCAN).

Unit cell a=3.296 b=3.757 c=7.688 alpha=90.00 beta=90.00 gamma=90.00
Positions (direct):
Y: 0.500 0.500 0.000
Sr: 0.500 0.500 0.500
As: 0.000 0.000 0.229
As: 0.000 0.000 0.771

***

--- b ---
Entry from the Alexandria database: a PBEsol-optimized structure of SrYAs2 (meta-GGA SCAN).

Unit cell a=6.198 b=6.198 c=8.703 alpha=110.86 beta=110.86 gamma=90.00
Last column: magnetic moment on the atom in μB.
Positions (direct):
Y: 0.250 0.750 0.500  -0.01
Y: 0.000 0.000 0.000  -0.01
Sr: 0.750 0.250 0.500  0.05
Sr: 0.500 0.500 0.000  0.05
As: 0.328 0.875 0.250  0.23
As: 0.922 0.375 0.250  0.23
As: 0.125 0.078 0.750  0.23
As: 0.625 0.672 0.750  0.23

***

Computed relative energies in units of eV/atom: a 0.000; b 0.282